Record 1
Here is a geometry-optimized TbPmOsRu structure from the Alexandria database. Energies are from PBE.

Results
The calculation puts the total energy at -7.5199 eV per atom. Its density of states at the Fermi level is 0.846 states/eV/atom.

Structure (CIF):
```
data_TbPmOsRu
_cell_length_a 6.9066
_cell_length_b 6.9066
_cell_length_c 6.9066
_cell_angle_alpha 90.00
_cell_angle_beta 90.00
_cell_angle_gamma 90.00
_space_group_name_H-M_alt 'F -4 3 m'
_space_group_IT_number 216
_space_group_name_Hall 'F -4 2 3'
loop_
_atom_site_label
_atom_site_type_symbol
_atom_site_fract_x
_atom_site_fract_y
_atom_site_fract_z
_atom_site_occupancy
Tb1 Tb 0.0000 0.0000 0.0000 1
Pm1 Pm 0.0000 0.0000 0.5000 1
Os1 Os 0.2500 0.2500 0.2500 1
Ru1 Ru 0.2500 0.2500 0.7500 1
```

---

Record 2
Here is a geometry-optimized CaZn2PdAu5 structure from the Alexandria database. Energies are from PBE.

Results
The calculation puts the total energy at -3.0745 eV per atom. Its density of states at the Fermi level is 0.300 states/eV/atom.

Structure (CIF):
```
data_CaZn2PdAu5
_cell_length_a 4.8571
_cell_length_b 4.8571
_cell_length_c 7.4771
_cell_angle_alpha 90.00
_cell_angle_beta 90.00
_cell_angle_gamma 90.00
_space_group_name_H-M_alt 'P 4/m m m'
_space_group_IT_number 123
_space_group_name_Hall '-P 4 2'
loop_
_atom_site_label
_atom_site_type_symbol
_atom_site_fract_x
_atom_site_fract_y
_atom_site_fract_z
_atom_site_occupancy
Ca1 Ca 0.0000 0.0000 0.0000 1
Zn1 Zn 0.5000 0.5000 0.3435 1
Pd1 Pd 0.0000 0.0000 0.5000 1
Au1 Au 0.0000 0.5000 0.2664 1
Au2 Au 0.5000 0.5000 0.0000 1
```

---

Record 3
Here is a geometry-optimized SrIF2 structure from the Alexandria database. Energies are from PBE.

Results
The polymorph energy (0 for the lowest one) comes out at 0.207 eV/atom. Its density of states at the Fermi level is 0.316 states/eV/atom. As for the uncorrected formation energy: -2.4751 eV/atom.

Structure (CIF):
```
data_SrIF2
_cell_length_a 6.8456
_cell_length_b 6.8456
_cell_length_c 11.2727
_cell_angle_alpha 90.00
_cell_angle_beta 90.00
_cell_angle_gamma 90.00
_space_group_name_H-M_alt 'I -4 2 d'
_space_group_IT_number 122
_space_group_name_Hall 'I -4 2bw'
loop_
_atom_site_label
_atom_site_type_symbol
_atom_site_fract_x
_atom_site_fract_y
_atom_site_fract_z
_atom_site_occupancy
Sr1 Sr 0.0000 0.0000 0.0000 1
I1 I 0.0000 0.0000 0.5000 1
F1 F 0.0890 0.2500 0.1250 1
```

---

Record 4
Here is a geometry-optimized TcSb4O12 structure from the Alexandria database. Energies are from PBE.

Results
Its density of states at the Fermi level is 0.072 states/eV/atom. As for the uncorrected formation energy: -1.1956 eV/atom.

Structure (CIF):
```
data_TcSb4O12
_cell_length_a 7.7632
_cell_length_b 7.7632
_cell_length_c 7.3333
_cell_angle_alpha 90.00
_cell_angle_beta 90.00
_cell_angle_gamma 90.00
_space_group_name_H-M_alt 'I 4/m m m'
_space_group_IT_number 139
_space_group_name_Hall '-I 4 2'
loop_
_atom_site_label
_atom_site_type_symbol
_atom_site_fract_x
_atom_site_fract_y
_atom_site_fract_z
_atom_site_occupancy
Tc1 Tc 0.0000 0.0000 0.0000 1
Sb1 Sb 0.2500 0.2500 0.2500 1
O1 O 0.0000 0.2280 0.1713 1
O2 O 0.1878 0.1878 0.5000 1
```

---

Record 5
Here is a geometry-optimized GaHgHAu structure from the Alexandria database. Energies are from PBE.

Results
The polymorph energy (0 for the lowest one) comes out at 0.043 eV/atom. Its density of states at the Fermi level is 0.190 states/eV/atom.

Structure (CIF):
```
data_GaHgHAu
_cell_length_a 3.4820
_cell_length_b 3.5579
_cell_length_c 6.4827
_cell_angle_alpha 103.46
_cell_angle_beta 104.95
_cell_angle_gamma 90.31
_space_group_name_H-M_alt 'P 1'
_space_group_IT_number 1
loop_
_space_group_symop_operation_xyz
'x,y,z'
loop_
_atom_site_label
_atom_site_type_symbol
_atom_site_fract_x
_atom_site_fract_y
_atom_site_fract_z
_atom_site_occupancy
Ga1 Ga 0.0000 0.0000 0.0000 1
Hg1 Hg 0.3448 0.3864 0.7145 1
H1 H 0.6622 0.6796 0.3331 1
Au1 Au 0.6578 0.1766 0.3264 1
```

---

Record 6
Here is a geometry-optimized PmLuTh structure from the Alexandria database. Energies are from PBE.

Results
The calculation puts the total energy at -5.5288 eV per atom. Its density of states at the Fermi level is 1.586 states/eV/atom.

Structure (CIF):
```
data_PmLuTh
_cell_length_a 3.5713
_cell_length_b 3.5713
_cell_length_c 8.6961
_cell_angle_alpha 90.00
_cell_angle_beta 90.00
_cell_angle_gamma 120.00
_space_group_name_H-M_alt 'P 3 m 1'
_space_group_IT_number 156
loop_
_space_group_symop_operation_xyz
'x,y,z'
'-y,x-y,z'
'-x+y,-x,z'
'-y,-x,z'
'-x+y,y,z'
'x,x-y,z'
loop_
_atom_site_label
_atom_site_type_symbol
_atom_site_fract_x
_atom_site_fract_y
_atom_site_fract_z
_atom_site_occupancy
Pm1 Pm 0.0000 0.0000 0.0000 1
Lu1 Lu 0.6667 0.3333 0.3447 1
Th1 Th 0.3333 0.6667 0.6649 1
```

---

Record 7
Here is a geometry-optimized CaTc2BP structure from the Alexandria database. Energies are from PBE.

Results
The calculation puts the total energy at -6.6230 eV per atom. Its density of states at the Fermi level is 1.103 states/eV/atom.

Structure (CIF):
```
data_CaTc2BP
_cell_length_a 4.1063
_cell_length_b 4.1063
_cell_length_c 4.8318
_cell_angle_alpha 90.00
_cell_angle_beta 90.00
_cell_angle_gamma 90.00
_space_group_name_H-M_alt 'P 4/m m m'
_space_group_IT_number 123
_space_group_name_Hall '-P 4 2'
loop_
_atom_site_label
_atom_site_type_symbol
_atom_site_fract_x
_atom_site_fract_y
_atom_site_fract_z
_atom_site_occupancy
Ca1 Ca 0.0000 0.0000 0.0000 1
Tc1 Tc 0.0000 0.5000 0.5000 1
B1 B 0.0000 0.0000 0.5000 1
P1 P 0.5000 0.5000 0.0000 1
```

---

Record 8
Here is a geometry-optimized RbCu2AsBr8 structure from the Alexandria database. Energies are from PBE.

Results
Its density of states at the Fermi level is 1.136 states/eV/atom. As for the uncorrected formation energy: -0.5116 eV/atom.

Structure (CIF):
```
data_RbCu2AsBr8
_cell_length_a 10.5943
_cell_length_b 7.6717
_cell_length_c 10.1781
_cell_angle_alpha 90.00
_cell_angle_beta 90.82
_cell_angle_gamma 90.00
_space_group_name_H-M_alt 'C 1 2/m 1'
_space_group_IT_number 12
loop_
_space_group_symop_operation_xyz
'x,y,z'
'-x,-y,-z'
'-x,y,-z'
'x,-y,z'
'x+1/2,y+1/2,z'
'-x+1/2,-y+1/2,-z'
'-x+1/2,y+1/2,-z'
'x+1/2,-y+1/2,z'
loop_
_atom_site_label
_atom_site_type_symbol
_atom_site_fract_x
_atom_site_fract_y
_atom_site_fract_z
_atom_site_occupancy
Rb1 Rb 0.0000 0.0000 0.0000 1
Cu1 Cu 0.1450 0.5000 0.2937 1
As1 As 0.0000 0.0000 0.5000 1
Br1 Br 0.0059 0.2380 0.3095 1
Br2 Br 0.1732 0.5000 0.0686 1
Br3 Br 0.2491 0.0000 0.5003 1
```

---

What is the formula in the eighth record?
RbCu2AsBr8